Entry 1:
OsWCl (PBEsol, optimized geometry); formation energy without anion corrections = 1221 meV/atom
1.0
4.228 0.000 0.000
2.114 3.661 0.000
2.114 1.220 3.452
Os W Cl
1 1 1
Direct
0.250 0.250 0.250 Os
0.000 0.000 0.000 W
0.500 0.500 0.500 Cl



Entry 2:
RbAg3Os (PBEsol, optimized geometry); formation energy = 2.65 eV/atom
1.0
5.125 0.000 0.000
0.000 5.125 0.000
0.000 0.000 5.125
Os Rb Ag
1 1 3
Direct
0.500 0.500 0.500 Os
0.000 0.000 0.000 Rb
0.000 0.500 0.000 Ag
0.000 0.000 0.500 Ag
0.500 0.000 0.000 Ag



Entry 3:
Hf2GaSi2 (PBEsol, optimized geometry); formation energy without anion corrections = -444 meV/atom
1.0
-2.536 0.544 2.203
-0.780 -3.311 -0.081
6.418 0.121 4.728
Si Hf Ga
2 2 1
Direct
0.250 0.750 0.500 Si
0.750 0.250 0.500 Si
0.391 0.391 0.782 Hf
0.609 0.609 0.218 Hf
0.000 0.000 0.000 Ga



Number 1: density of states at the Fermi level 3.62 states/eV/cell. Number 2: density of states at the Fermi level 8.59 states/eV/cell. Number 3: density of states at the Fermi level 2.00 states/eV/cell.